# 1
NaSe2BrF after structural relaxation, computed with GGA-PBE.

Properties
DOS at the Fermi energy   5.4 states/eV per cell
Formation energy without anion corrections   -0.327 eV per atom
ρ   3.41 Mg/m³

Cell lengths 4.3621, 4.3621, 7.1690 Å; angles 90.00, 90.00, 90.00 degrees
With the nearest neighbours (Å) after each atom.
Space group P4/mmm (No. 123)
One atom of each set of equivalent atoms:
Na: 0.0000 0.0000 0.0000 x1  4 Br 3.08
Se: 0.0000 0.5000 0.5000 x2  2 F 2.18
Br: 0.5000 0.5000 0.0000 x1  4 Na 3.08
F: 0.5000 0.5000 0.5000 x1  4 Se 2.18



# 2
NaAg3Cl8 after structural relaxation, computed with GGA-PBE.

Properties
DOS at the Fermi energy   10.3 states/eV per cell
Formation energy without anion corrections   -0.531 eV per atom
ρ   3.06 Mg/m³

Cell lengths 14.2518, 7.4581, 7.1703 Å; angles 90.00, 116.00, 90.00 degrees
With the nearest neighbours (Å) after each atom.
Space group C2/m (No. 12)
One atom of each set of equivalent atoms:
Na: 0.0000 0.0000 0.0000 x2  4 Cl 2.71
Ag: 0.0000 0.5000 0.0000 x2  4 Cl 2.34
Ag: 0.2500 0.2500 0.5000 x4  4 Cl 2.49-2.50
Cl: 0.0010 0.2836 0.2374 x8  1 Ag 2.34
Cl: 0.2359 0.0000 0.7172 x4  2 Ag 2.49
Cl: 0.2371 0.0000 0.2573 x4  2 Ag 2.50



# 3
CsRb2Se after structural relaxation, computed with GGA-PBE.

Properties
DOS at the Fermi energy   7.0 states/eV per cell
Formation energy without anion corrections   -0.663 eV per atom
ρ   2.35 Mg/m³

Cell lengths 12.2935, 12.2935, 7.1743 Å; angles 90.00, 90.00, 90.00 degrees
With the nearest neighbours (Å) after each atom.
Space group I-42d (No. 122)
One atom of each set of equivalent atoms:
Cs: 0.0000 0.0000 0.0000 x4  2 Se 3.59
Rb: 0.0924 0.2500 0.6250 x8  2 Se 3.40
Se: 0.0000 0.0000 0.5000 x4  4 Rb 3.40, 2 Cs 3.59



# 4
Na3TeRu after structural relaxation, computed with GGA-PBE.

Properties
DOS at the Fermi energy   4.7 states/eV per cell
Formation energy without anion corrections   0.732 eV per atom
ρ   2.87 Mg/m³

Cell lengths 5.5657, 5.5657, 5.5657 Å; angles 90.00, 90.00, 90.00 degrees
With the nearest neighbours (Å) after each atom.
Space group Pm-3m (No. 221)
One atom of each set of equivalent atoms:
Na: 0.0000 0.0000 0.5000 x3  2 Ru 2.78
Te: 0.5000 0.5000 0.5000 x1  12 Na 3.94
Ru: 0.0000 0.0000 0.0000 x1  6 Na 2.78



# 5
NaNdP2O6 after structural relaxation, computed with GGA-PBE.

Properties
DOS at the Fermi energy   0.0 states/eV per cell
Formation energy without anion corrections   -2.517 eV per atom
ρ   3.84 Mg/m³

Cell lengths 7.0123, 11.1662, 7.8241 Å; angles 90.00, 113.30, 90.00 degrees
With the nearest neighbours (Å) after each atom.
Space group C2/c (No. 15)
One atom of each set of equivalent atoms:
Na: 0.0000 0.1248 0.2500 x4  4 O 2.28-2.41
Nd: 0.0000 0.2836 0.7500 x4  8 O 2.41-2.56
P: 0.1615 0.4086 0.2468 x8  3 O 1.54-1.56
O: 0.1616 0.3308 0.0808 x8  1 P 1.56
O: 0.1650 0.1480 0.5832 x8  1 P 1.54
O: 0.1922 0.4569 0.7251 x8  1 P 1.54



# 6
Ce12RuRh6 after structural relaxation, computed with GGA-PBE.

Properties
DOS at the Fermi energy   172.8 states/eV per cell
Calculated formation energy   -399 meV/atom
ρ   7.78 Mg/m³

Cell lengths 12.0773, 12.0773, 12.1639 Å; angles 90.00, 90.00, 120.00 degrees
With the nearest neighbours (Å) after each atom.
Space group R-3 (No. 148, hexagonal axes)
One atom of each set of equivalent atoms:
Ce: 0.0198 0.8122 0.3930 x18  3 Rh 2.72-2.90
Ce: 0.0597 0.8499 0.8758 x18  1 Ru 2.72, 2 Rh 2.88-3.00, 1 Ce 2.99
Ru: 0.0000 0.0000 0.0000 x3  6 Ce 2.72
Rh: 0.0366 0.7672 0.6405 x18  5 Ce 2.72-3.00



# 7
Sc2Co12B7 after structural relaxation, computed with GGA-PBE.

Properties
DOS at the Fermi energy   21.0 states/eV per cell
Calculated formation energy   -386 meV/atom
ρ   7.22 Mg/m³

Cell lengths 8.3239, 8.3239, 3.3444 Å; angles 90.00, 90.00, 120.00 degrees
With the nearest neighbours (Å) after each atom.
Space group P-6 (No. 174)
One atom of each set of equivalent atoms:
Sc: 0.0000 0.0000 0.0000 x1  6 B 2.67, 12 Co 2.75-2.95
Sc: 0.3333 0.6667 0.5000 x1  6 B 2.60, 9 Co 2.73-2.84
Co: 0.0563 0.2861 0.5000 x3  4 B 2.09-2.17
Co: 0.0947 0.7027 0.0000 x3  4 B 2.06-2.13, 1 Co 2.30
Co: 0.3922 0.1752 0.0000 x3  4 B 1.99-2.09
Co: 0.5470 0.4274 0.5000 x3  3 B 2.07-2.28
B: 0.0779 0.4466 0.0000 x3  5 Co 2.02-2.09
B: 0.2704 0.2227 0.5000 x3  7 Co 2.07-2.17
B: 0.6667 0.3333 0.0000 x1  3 Co 1.99



# 8
CdNi2Te after structural relaxation, computed with GGA-PBE.

Properties
DOS at the Fermi energy   1.6 states/eV per cell
Formation energy without anion corrections   0.102 eV per atom
ρ   8.61 Mg/m³

Cell lengths 3.5181, 3.5181, 5.5666 Å; angles 90.00, 90.00, 90.00 degrees
With the nearest neighbours (Å) after each atom.
Space group P4mm (No. 99)
One atom of each set of equivalent atoms:
Cd: 0.0000 0.0000 0.0000 x1  5 Ni 2.61-2.70
Ni: 0.0000 0.0000 0.4690 x1  1 Cd 2.61, 4 Te 2.64
Ni: 0.5000 0.5000 0.1884 x1  1 Te 2.45, 4 Cd 2.70
Te: 0.5000 0.5000 0.6286 x1  5 Ni 2.45-2.64



Question: Look up the DOS at the Fermi energy of the second one.
Answer: 10.3 states/eV per cell



Question: What is the ρ in the sixth record?
Answer: 7.78 Mg/m³



Question: What is the DOS at the Fermi energy in the seventh record?
Answer: 21.0 states/eV per cell